Record 1
# GGA-PBEsol BaAlIr2, relaxed
data_BaAlIr2
_chemical_formula_sum 'Ba1 Al1 Ir2'
_symmetry_space_group_name_H-M 'P 1'
_symmetry_Int_Tables_number 1
_cell_length_a 4.7354
_cell_length_b 4.7536
_cell_length_c 4.7354
_cell_angle_alpha 60.13
_cell_angle_beta 90.00
_cell_angle_gamma 119.87
loop_
_symmetry_equiv_pos_as_xyz
'x,y,z'
loop_
_atom_site_label
_atom_site_type_symbol
_atom_site_fract_x
_atom_site_fract_y
_atom_site_fract_z
Ba1 Ba 0.0000 0.0000 0.0000
Ir1 Ir 0.2500 0.5000 0.2500
Ir2 Ir 0.7500 0.5000 0.7500
Al1 Al 0.5000 0.0000 0.5000
# ΔE_f: 0.449 eV/atom


Record 2
# GGA-PBEsol Te2IrAu, relaxed
data_Te2IrAu
_chemical_formula_sum 'Te2 Ir1 Au1'
_symmetry_space_group_name_H-M 'P 1'
_symmetry_Int_Tables_number 1
_cell_length_a 3.5818
_cell_length_b 4.7716
_cell_length_c 4.7716
_cell_angle_alpha 102.33
_cell_angle_beta 90.00
_cell_angle_gamma 90.00
loop_
_symmetry_equiv_pos_as_xyz
'x,y,z'
loop_
_atom_site_label
_atom_site_type_symbol
_atom_site_fract_x
_atom_site_fract_y
_atom_site_fract_z
Au1 Au 0.5000 0.0000 0.0000
Te1 Te 0.0000 0.0000 0.5000
Te2 Te 0.0000 0.5000 0.0000
Ir1 Ir 0.5000 0.5000 0.5000
# Formation energy (no corrections): 0.458 eV/atom


Record 3
# GGA-PBEsol AlTlOs2, relaxed
data_AlTlOs2
_chemical_formula_sum 'Al1 Tl1 Os2'
_symmetry_space_group_name_H-M 'P 1'
_symmetry_Int_Tables_number 1
_cell_length_a 2.9375
_cell_length_b 4.5931
_cell_length_c 5.0165
_cell_angle_alpha 111.46
_cell_angle_beta 90.00
_cell_angle_gamma 90.00
loop_
_symmetry_equiv_pos_as_xyz
'x,y,z'
loop_
_atom_site_label
_atom_site_type_symbol
_atom_site_fract_x
_atom_site_fract_y
_atom_site_fract_z
Al1 Al 0.0000 0.5000 0.5000
Os1 Os 0.5000 0.0000 0.5000
Os2 Os 0.0000 0.0000 0.0000
Tl1 Tl 0.5000 0.5000 0.0000
# ΔE_f: 0.579 eV/atom


Record 4
# GGA-PBEsol ZrCu2H2, relaxed
data_ZrCu2H2
_chemical_formula_sum 'Zr1 Cu2 H2'
_symmetry_space_group_name_H-M 'P 1'
_symmetry_Int_Tables_number 1
_cell_length_a 3.0044
_cell_length_b 3.0044
_cell_length_c 6.0741
_cell_angle_alpha 104.32
_cell_angle_beta 104.32
_cell_angle_gamma 90.00
loop_
_symmetry_equiv_pos_as_xyz
'x,y,z'
loop_
_atom_site_label
_atom_site_type_symbol
_atom_site_fract_x
_atom_site_fract_y
_atom_site_fract_z
Cu1 Cu 0.6700 0.6700 0.3400
H1 H 0.7500 0.2500 0.5000
Zr1 Zr 0.0000 0.0000 0.0000
H2 H 0.2500 0.7500 0.5000
Cu2 Cu 0.3300 0.3300 0.6600
# DFT total energy: -4.785 eV per atom


Record 5
# GGA-PBEsol FeIrPd3, relaxed
data_FeIrPd3
_chemical_formula_sum 'Fe1 Ir1 Pd3'
_symmetry_space_group_name_H-M 'P 1'
_symmetry_Int_Tables_number 1
_cell_length_a 4.3854
_cell_length_b 4.3854
_cell_length_c 4.3854
_cell_angle_alpha 90.00
_cell_angle_beta 90.00
_cell_angle_gamma 90.00
loop_
_symmetry_equiv_pos_as_xyz
'x,y,z'
loop_
_atom_site_label
_atom_site_type_symbol
_atom_site_fract_x
_atom_site_fract_y
_atom_site_fract_z
Pd1 Pd 0.5000 0.0000 0.0000
Fe1 Fe 0.0000 0.0000 0.0000
Ir1 Ir 0.5000 0.5000 0.5000
Pd2 Pd 0.0000 0.5000 0.0000
Pd3 Pd 0.0000 0.0000 0.5000
# ΔE_f: 1.347 eV/atom


Record 6
# GGA-PBEsol TaZn3As, relaxed
data_TaZn3As
_chemical_formula_sum 'Ta1 Zn3 As1'
_symmetry_space_group_name_H-M 'P 1'
_symmetry_Int_Tables_number 1
_cell_length_a 4.8902
_cell_length_b 4.8902
_cell_length_c 4.8902
_cell_angle_alpha 90.00
_cell_angle_beta 90.00
_cell_angle_gamma 90.00
loop_
_symmetry_equiv_pos_as_xyz
'x,y,z'
loop_
_atom_site_label
_atom_site_type_symbol
_atom_site_fract_x
_atom_site_fract_y
_atom_site_fract_z
Zn1 Zn 0.5000 0.0000 0.0000
Ta1 Ta 0.0000 0.0000 0.0000
As1 As 0.5000 0.5000 0.5000
Zn2 Zn 0.0000 0.0000 0.5000
Zn3 Zn 0.0000 0.5000 0.0000
# ΔE_f: 1.343 eV/atom


Record 7
# GGA-PBEsol CaLa2Al2, relaxed
data_CaLa2Al2
_chemical_formula_sum 'Ca2 La4 Al4'
_symmetry_space_group_name_H-M 'P 1'
_symmetry_Int_Tables_number 1
_cell_length_a 3.8130
_cell_length_b 8.7407
_cell_length_c 8.7407
_cell_angle_alpha 90.00
_cell_angle_beta 90.00
_cell_angle_gamma 90.00
loop_
_symmetry_equiv_pos_as_xyz
'x,y,z'
loop_
_atom_site_label
_atom_site_type_symbol
_atom_site_fract_x
_atom_site_fract_y
_atom_site_fract_z
Al1 Al 0.0000 0.6122 0.1122
Al2 Al 0.0000 0.1122 0.3878
La1 La 0.5000 0.6781 0.8219
Ca1 Ca 0.0000 0.5000 0.5000
Al3 Al 0.0000 0.3878 0.8878
La2 La 0.5000 0.8219 0.3219
La3 La 0.5000 0.3219 0.1781
Al4 Al 0.0000 0.8878 0.6122
La4 La 0.5000 0.1781 0.6781
Ca2 Ca 0.0000 0.0000 0.0000
# ΔE_f: -0.231 eV/atom


Record 8
# GGA-PBEsol MgTaRe2F, relaxed
data_MgTaRe2F
_chemical_formula_sum 'Mg1 Ta1 Re2 F1'
_symmetry_space_group_name_H-M 'P 1'
_symmetry_Int_Tables_number 1
_cell_length_a 4.7003
_cell_length_b 4.7003
_cell_length_c 5.6225
_cell_angle_alpha 90.00
_cell_angle_beta 90.00
_cell_angle_gamma 90.00
loop_
_symmetry_equiv_pos_as_xyz
'x,y,z'
loop_
_atom_site_label
_atom_site_type_symbol
_atom_site_fract_x
_atom_site_fract_y
_atom_site_fract_z
Mg1 Mg 0.0000 0.0000 0.5000
F1 F 0.5000 0.5000 0.5000
Re1 Re 0.5000 0.0000 0.0000
Re2 Re 0.0000 0.5000 0.0000
Ta1 Ta 0.0000 0.0000 0.0000
# Formation energy (no corrections): 1.916 eV/atom


Record 9
# GGA-PBEsol RbLaRu3, relaxed
data_RbLaRu3
_chemical_formula_sum 'Rb1 La1 Ru3'
_symmetry_space_group_name_H-M 'P 1'
_symmetry_Int_Tables_number 1
_cell_length_a 4.9655
_cell_length_b 4.9655
_cell_length_c 4.9655
_cell_angle_alpha 90.00
_cell_angle_beta 90.00
_cell_angle_gamma 90.00
loop_
_symmetry_equiv_pos_as_xyz
'x,y,z'
loop_
_atom_site_label
_atom_site_type_symbol
_atom_site_fract_x
_atom_site_fract_y
_atom_site_fract_z
Rb1 Rb 0.5000 0.5000 0.5000
Ru1 Ru 0.0000 0.0000 0.5000
Ru2 Ru 0.5000 0.0000 0.0000
La1 La 0.0000 0.0000 0.0000
Ru3 Ru 0.0000 0.5000 0.0000
# ΔE_f: 1.861 eV/atom


Record 10
# GGA-PBEsol CsMg2Pb2, relaxed
data_CsMg2Pb2
_chemical_formula_sum 'Cs1 Mg2 Pb2'
_symmetry_space_group_name_H-M 'P 1'
_symmetry_Int_Tables_number 1
_cell_length_a 5.0940
_cell_length_b 5.0940
_cell_length_c 7.2680
_cell_angle_alpha 110.51
_cell_angle_beta 110.51
_cell_angle_gamma 90.00
loop_
_symmetry_equiv_pos_as_xyz
'x,y,z'
loop_
_atom_site_label
_atom_site_type_symbol
_atom_site_fract_x
_atom_site_fract_y
_atom_site_fract_z
Mg1 Mg 0.2500 0.7500 0.5000
Pb1 Pb 0.3781 0.3781 0.7562
Mg2 Mg 0.7500 0.2500 0.5000
Pb2 Pb 0.6219 0.6219 0.2438
Cs1 Cs 0.0000 0.0000 0.0000
# ΔE_f: -0.135 eV/atom


Record 11
# GGA-PBEsol AlSbP2, relaxed
data_AlSbP2
_chemical_formula_sum 'Al1 Sb1 P2'
_symmetry_space_group_name_H-M 'P 1'
_symmetry_Int_Tables_number 1
_cell_length_a 3.7379
_cell_length_b 3.7379
_cell_length_c 6.5487
_cell_angle_alpha 73.42
_cell_angle_beta 73.42
_cell_angle_gamma 60.00
loop_
_symmetry_equiv_pos_as_xyz
'x,y,z'
loop_
_atom_site_label
_atom_site_type_symbol
_atom_site_fract_x
_atom_site_fract_y
_atom_site_fract_z
Sb1 Sb 0.5000 0.5000 0.5000
Al1 Al 0.0000 0.0000 0.0000
P1 P 0.7408 0.7408 0.7777
P2 P 0.2592 0.2592 0.2223
# Formation energy (no corrections): -0.096 eV/atom


Record 12
# GGA-PBEsol CrCoRe2, relaxed
data_CrCoRe2
_chemical_formula_sum 'Cr1 Co1 Re2'
_symmetry_space_group_name_H-M 'P 1'
_symmetry_Int_Tables_number 1
_cell_length_a 3.6052
_cell_length_b 3.7402
_cell_length_c 3.7402
_cell_angle_alpha 90.00
_cell_angle_beta 90.00
_cell_angle_gamma 90.00
loop_
_symmetry_equiv_pos_as_xyz
'x,y,z'
loop_
_atom_site_label
_atom_site_type_symbol
_atom_site_fract_x
_atom_site_fract_y
_atom_site_fract_z
Re1 Re 0.0000 0.0000 0.5000
Co1 Co 0.5000 0.5000 0.5000
Re2 Re 0.0000 0.5000 0.0000
Cr1 Cr 0.5000 0.0000 0.0000
# ΔE_f: 0.037 eV/atom


Record 13
# GGA-PBEsol Rb2YB2, relaxed
data_Rb2YB2
_chemical_formula_sum 'Rb2 Y1 B2'
_symmetry_space_group_name_H-M 'P 1'
_symmetry_Int_Tables_number 1
_cell_length_a 4.1121
_cell_length_b 4.1121
_cell_length_c 7.4079
_cell_angle_alpha 106.11
_cell_angle_beta 106.11
_cell_angle_gamma 90.00
loop_
_symmetry_equiv_pos_as_xyz
'x,y,z'
loop_
_atom_site_label
_atom_site_type_symbol
_atom_site_fract_x
_atom_site_fract_y
_atom_site_fract_z
B1 B 0.4428 0.4428 0.8856
Rb1 Rb 0.2500 0.7500 0.5000
Rb2 Rb 0.7500 0.2500 0.5000
B2 B 0.5572 0.5572 0.1144
Y1 Y 0.0000 0.0000 0.0000
# ΔE_f: 0.832 eV/atom


Record 14
# GGA-PBEsol BP2CCl, relaxed
data_BP2CCl
_chemical_formula_sum 'B1 P2 C1 Cl1'
_symmetry_space_group_name_H-M 'P 1'
_symmetry_Int_Tables_number 1
_cell_length_a 3.8956
_cell_length_b 4.1164
_cell_length_c 4.1164
_cell_angle_alpha 90.00
_cell_angle_beta 90.00
_cell_angle_gamma 90.00
loop_
_symmetry_equiv_pos_as_xyz
'x,y,z'
loop_
_atom_site_label
_atom_site_type_symbol
_atom_site_fract_x
_atom_site_fract_y
_atom_site_fract_z
B1 B 0.0000 0.0000 0.0000
P1 P 0.0000 0.0000 0.5000
Cl1 Cl 0.5000 0.0000 0.0000
P2 P 0.0000 0.5000 0.0000
C1 C 0.5000 0.5000 0.5000
# Formation energy (no corrections): 1.891 eV/atom